An optimized crystal structure of AcNdBiS, computed with GGA-PBE.

space group: P4/nmm (129)
uncorrected formation energy: -1230 meV per atom
crystal system: tetragonal

Structure (extended XYZ):
```
8
Lattice="5.124 0.000 0.000 0.000 5.124 0.000 0.000 0.000 10.490" Properties=species:S:1:pos:R:3 pbc="T T T"
Ac 1.281 1.281 1.443
Ac 3.843 3.843 9.047
Nd 1.281 3.843 5.245
Nd 3.843 1.281 5.245
Bi 1.281 1.281 7.260
Bi 3.843 3.843 3.230
S 1.281 3.843 0.000
S 3.843 1.281 0.000
```